A plane-wave DFT calculation with PBE-GGA was carried out for LiBi2Cl8 after structural relaxation.

Computed properties:
- space-group type = C2/m (12)

Lattice parameters (Å, degrees): 7.955 7.955 7.210 103.98 103.98 67.78
Fractional positions:
Li1 0.000 0.000 0.000
Bi1 0.284 0.284 0.956
Bi2 0.716 0.716 0.044
Cl1 0.034 0.666 0.922
Cl2 0.167 0.167 0.620
Cl3 0.334 0.966 0.078
Cl4 0.472 0.472 0.810
Cl5 0.528 0.528 0.190
Cl6 0.666 0.034 0.922
Cl7 0.833 0.833 0.380
Cl8 0.966 0.334 0.078

=====

A plane-wave DFT calculation with PBE-GGA was carried out for Li5BiCl8 after structural relaxation.

Computed properties:
- space-group type = I-4 (82)

Lattice parameters (Å, degrees): 7.413 7.413 7.413 103.78 103.78 121.58
Fractional positions:
Li1 0.000 0.000 0.000
Li2 0.044 0.120 0.484
Li3 0.440 0.956 0.076
Li4 0.636 0.560 0.516
Li5 0.880 0.364 0.924
Bi1 0.250 0.750 0.500
Cl1 0.322 0.622 0.169
Cl2 0.346 0.132 0.314
Cl3 0.378 0.548 0.700
Cl4 0.452 0.152 0.831
Cl5 0.818 0.031 0.686
Cl6 0.848 0.678 0.300
Cl7 0.868 0.182 0.214
Cl8 0.969 0.654 0.786

=====

A plane-wave DFT calculation with PBE-GGA was carried out for Li2BiCl after structural relaxation.

Computed properties:
- space-group type = R-3m (166)

Lattice parameters (Å, degrees): 7.981 7.981 7.981 25.45 25.45 25.45
Fractional positions:
Li1 0.230 0.230 0.230
Li2 0.770 0.770 0.770
Bi1 0.000 0.000 0.000
Cl1 0.500 0.500 0.500

=====

A plane-wave DFT calculation with PBE-GGA was carried out for Li2BiCl after structural relaxation.

Computed properties:
- space-group type = Fm-3m (225)

Lattice parameters (Å, degrees): 5.120 5.120 5.120 60.00 60.00 60.00
Fractional positions:
Li1 0.250 0.250 0.250
Li2 0.750 0.750 0.750
Bi1 0.000 0.000 0.000
Cl1 0.500 0.500 0.500

=====

A plane-wave DFT calculation with PBE-GGA was carried out for Li3BiCl6 after structural relaxation.

Computed properties:
- space-group type = Cmmm (65)

Lattice parameters (Å, degrees): 7.755 7.755 4.369 90.00 90.00 113.67
Fractional positions:
Li1 0.000 0.000 0.000
Li2 0.000 0.500 0.500
Li3 0.500 0.000 0.500
Bi1 0.500 0.500 0.000
Cl1 0.083 0.334 0.000
Cl2 0.334 0.083 0.000
Cl3 0.360 0.640 0.500
Cl4 0.640 0.360 0.500
Cl5 0.666 0.917 0.000
Cl6 0.917 0.666 0.000

=====

A plane-wave DFT calculation with PBE-GGA was carried out for Li2Bi2Cl7 after structural relaxation.

Computed properties:
- space-group type = C2/m (12)

Lattice parameters (Å, degrees): 7.324 7.324 6.461 97.98 97.98 78.11
Fractional positions:
Li1 0.173 0.827 0.000
Li2 0.827 0.173 0.000
Bi1 0.270 0.270 0.583
Bi2 0.730 0.730 0.417
Cl1 0.053 0.588 0.754
Cl2 0.078 0.078 0.775
Cl3 0.412 0.947 0.246
Cl4 0.500 0.500 0.500
Cl5 0.588 0.053 0.754
Cl6 0.922 0.922 0.225
Cl7 0.947 0.412 0.246

=====

Result set for V: 404.1; 302.9; 82.6; 94.9; 240.7; 333.7 Å³ per cell, one per record in the order listed.
Result set for electronic total energy: -3.143; -3.533; -3.436; -2.766; -3.427; -3.356 eV per atom, one per record in the order listed.